## CaAc3Os2N6 (GGA-PBE)

Data for a relaxed CaAc3Os2N6 crystal.

The formation energy from raw total energies comes out at -6.6 eV per formula unit. The calculation puts the electronic total energy at -7.776 eV/atom.

Cell lengths 6.0718, 6.0718, 6.8582 Å; angles 90.00, 90.00, 120.00 degrees
With the nearest neighbours (Å) after each atom.
Space group P-3m1 (No. 164)
Symmetry-distinct sites (fractional):
Ca1 0.0000 0.0000 0.0000 [1 per cell]  6 N 2.33
Ac1 0.0000 0.0000 0.5000 [1 per cell]  6 N 2.64
Ac2 0.3333 0.6667 0.1911 [2 per cell]  9 N 3.04-3.28, 1 Os 3.40
Os1 0.3333 0.6667 0.6864 [2 per cell]  3 N 1.83
N1 0.1707 0.3413 0.7830 [6 per cell]  1 Os 1.83